A PBEsol-optimized structure of Sc2TaRu, computed with SCAN.

a b c (Å): 4.649 4.649 4.649
angles (deg): 60.00 60.00 60.00
Positions (direct):
Ru  0.000  0.000  0.000
Sc  0.250  0.250  0.250
Sc  0.750  0.750  0.750
Ta  0.500  0.500  0.500

* volume: 17.8 Å³/atom
* energy relative to the lowest polymorph listed for this composition: 143.7 meV per atom
* Fermi-level density of states: 0.895 states/eV per atom
* energy relative to the elements: 39 meV/atom
* calculated total energy: -32.432 eV per atom